one | DFT (PBE) results for a relaxed Ta2GeBr crystal.

The structure in CIF format:
```
data_Ta2GeBr
_symmetry_space_group_name_H-M 'P 1'
_symmetry_Int_Tables_number 1
_symmetry_space_group_name_Hall 'P 1'
_cell_length_a 7.2013
_cell_length_b 7.2013
_cell_length_c 5.9312
_cell_angle_alpha 52.62
_cell_angle_beta 52.62
_cell_angle_gamma 90.00
loop_
_atom_site_label
_atom_site_fract_x
_atom_site_fract_y
_atom_site_fract_z
Ta1 0.6205 0.1250 0.2500
Ge1 0.5000 0.5000 0.0000
Br1 0.7500 0.2500 0.5000
Br2 0.0000 0.0000 0.0000
Ge2 0.2500 0.7500 0.5000
Ta2 0.8750 0.8705 0.7500
Ta3 0.3750 0.3795 0.7500
Ta4 0.1295 0.6250 0.2500
```



two | DFT (PBE) results for a relaxed Ta2GeBr crystal.

The structure in CIF format:
```
data_Ta2GeBr
_symmetry_space_group_name_H-M 'P 1'
_symmetry_Int_Tables_number 1
_symmetry_space_group_name_Hall 'P 1'
_cell_length_a 4.6089
_cell_length_b 4.6089
_cell_length_c 4.6089
_cell_angle_alpha 60.00
_cell_angle_beta 60.00
_cell_angle_gamma 60.00
loop_
_atom_site_label
_atom_site_fract_x
_atom_site_fract_y
_atom_site_fract_z
Br1 0.5000 0.5000 0.5000
Ta1 0.7500 0.7500 0.7500
Ta2 0.2500 0.2500 0.2500
Ge1 0.0000 0.0000 0.0000
```



Which structure is the least stable? The one labeled one.



one | DFT (PBE) results for a relaxed Tc2Ge2Br crystal.

The structure in CIF format:
```
data_Tc2Ge2Br
_symmetry_space_group_name_H-M 'P 1'
_symmetry_Int_Tables_number 1
_symmetry_space_group_name_Hall 'P 1'
_cell_length_a 3.7111
_cell_length_b 3.7111
_cell_length_c 6.8798
_cell_angle_alpha 74.35
_cell_angle_beta 74.35
_cell_angle_gamma 90.00
loop_
_atom_site_label
_atom_site_fract_x
_atom_site_fract_y
_atom_site_fract_z
Tc1 0.6124 0.6124 0.7751
Tc2 0.3876 0.3876 0.2249
Br1 0.0000 0.0000 0.0000
Ge1 0.7500 0.2500 0.5000
Ge2 0.2500 0.7500 0.5000
```



two | DFT (PBE) results for a relaxed Tc2Ge2Br crystal.

The structure in CIF format:
```
data_Tc2Ge2Br
_symmetry_space_group_name_H-M 'P 1'
_symmetry_Int_Tables_number 1
_symmetry_space_group_name_Hall 'P 1'
_cell_length_a 7.3007
_cell_length_b 7.3007
_cell_length_c 3.1209
_cell_angle_alpha 90.00
_cell_angle_beta 90.00
_cell_angle_gamma 90.00
loop_
_atom_site_label
_atom_site_fract_x
_atom_site_fract_y
_atom_site_fract_z
Tc1 0.6480 0.1480 0.0000
Tc2 0.3520 0.8520 0.0000
Ge1 0.8593 0.3593 0.5000
Ge2 0.1407 0.6407 0.5000
Tc3 0.1480 0.3520 0.0000
Ge3 0.3593 0.1407 0.5000
Br1 0.0000 0.0000 0.0000
Ge4 0.6407 0.8593 0.5000
Tc4 0.8520 0.6480 0.0000
Br2 0.5000 0.5000 0.0000
```



Which structure is the least stable? The one labeled one.



one | DFT (PBE) results for a relaxed TcGe2Br crystal.

The structure in CIF format:
```
data_TcGe2Br
_symmetry_space_group_name_H-M 'P 1'
_symmetry_Int_Tables_number 1
_symmetry_space_group_name_Hall 'P 1'
_cell_length_a 6.0741
_cell_length_b 6.0741
_cell_length_c 7.3738
_cell_angle_alpha 65.68
_cell_angle_beta 65.68
_cell_angle_gamma 90.00
loop_
_atom_site_label
_atom_site_fract_x
_atom_site_fract_y
_atom_site_fract_z
Ge1 0.7057 0.1250 0.2500
Br1 0.2500 0.7500 0.5000
Tc1 0.7500 0.2500 0.5000
Ge2 0.3750 0.2943 0.7500
Br2 0.5000 0.5000 0.0000
Ge3 0.8750 0.9557 0.7500
Ge4 0.0443 0.6250 0.2500
Tc2 0.0000 0.0000 0.0000
```



two | DFT (PBE) results for a relaxed TcGe2Br crystal.

The structure in CIF format:
```
data_TcGe2Br
_symmetry_space_group_name_H-M 'P 1'
_symmetry_Int_Tables_number 1
_symmetry_space_group_name_Hall 'P 1'
_cell_length_a 4.7905
_cell_length_b 4.7905
_cell_length_c 4.7905
_cell_angle_alpha 60.00
_cell_angle_beta 60.00
_cell_angle_gamma 60.00
loop_
_atom_site_label
_atom_site_fract_x
_atom_site_fract_y
_atom_site_fract_z
Ge1 0.7500 0.7500 0.7500
Ge2 0.2500 0.2500 0.2500
Tc1 0.5000 0.5000 0.5000
Br1 0.0000 0.0000 0.0000
```



Which structure is the least stable? The one labeled two.



one | DFT (PBE) results for a relaxed GeTe2Br crystal.

The structure in CIF format:
```
data_GeTe2Br
_symmetry_space_group_name_H-M 'P 1'
_symmetry_Int_Tables_number 1
_symmetry_space_group_name_Hall 'P 1'
_cell_length_a 7.7070
_cell_length_b 7.7070
_cell_length_c 7.0978
_cell_angle_alpha 57.12
_cell_angle_beta 57.12
_cell_angle_gamma 90.00
loop_
_atom_site_label
_atom_site_fract_x
_atom_site_fract_y
_atom_site_fract_z
Te1 0.8750 0.8173 0.7500
Ge1 0.5000 0.5000 0.0000
Ge2 0.2500 0.7500 0.5000
Br1 0.7500 0.2500 0.5000
Br2 0.0000 0.0000 0.0000
Te2 0.3750 0.4327 0.7500
Te3 0.1827 0.6250 0.2500
Te4 0.5673 0.1250 0.2500
```



two | DFT (PBE) results for a relaxed GeTe2Br crystal.

The structure in CIF format:
```
data_GeTe2Br
_symmetry_space_group_name_H-M 'P 1'
_symmetry_Int_Tables_number 1
_symmetry_space_group_name_Hall 'P 1'
_cell_length_a 4.0135
_cell_length_b 5.7636
_cell_length_c 11.3236
_cell_angle_alpha 90.00
_cell_angle_beta 90.00
_cell_angle_gamma 89.44
loop_
_atom_site_label
_atom_site_fract_x
_atom_site_fract_y
_atom_site_fract_z
Br1 0.4975 0.0954 0.7500
Ge1 0.4903 0.6552 0.7500
Br2 0.5025 0.9046 0.2500
Te1 0.0089 0.2934 0.0588
Te2 0.9911 0.7066 0.5588
Ge2 0.5097 0.3448 0.2500
Te3 0.0089 0.2934 0.4412
Te4 0.9911 0.7066 0.9412
```



three | DFT (PBE) results for a relaxed GeTe2Br crystal.

The structure in CIF format:
```
data_GeTe2Br
_symmetry_space_group_name_H-M 'P 1'
_symmetry_Int_Tables_number 1
_symmetry_space_group_name_Hall 'P 1'
_cell_length_a 5.2671
_cell_length_b 5.2671
_cell_length_c 5.2671
_cell_angle_alpha 60.00
_cell_angle_beta 60.00
_cell_angle_gamma 60.00
loop_
_atom_site_label
_atom_site_fract_x
_atom_site_fract_y
_atom_site_fract_z
Br1 0.5000 0.5000 0.5000
Ge1 0.0000 0.0000 0.0000
Te1 0.2500 0.2500 0.2500
Te2 0.7500 0.7500 0.7500
```



four | DFT (PBE) results for a relaxed GeTe2Br crystal.

The structure in CIF format:
```
data_GeTe2Br
_symmetry_space_group_name_H-M 'P 1'
_symmetry_Int_Tables_number 1
_symmetry_space_group_name_Hall 'P 1'
_cell_length_a 9.1306
_cell_length_b 9.1306
_cell_length_c 9.1306
_cell_angle_alpha 26.41
_cell_angle_beta 26.41
_cell_angle_gamma 26.41
loop_
_atom_site_label
_atom_site_fract_x
_atom_site_fract_y
_atom_site_fract_z
Te1 0.1056 0.1056 0.1056
Ge1 0.5000 0.5000 0.5000
Br1 0.0000 0.0000 0.0000
Te2 0.8944 0.8944 0.8944
```



Which structure is the least stable? The one labeled three.



one | DFT (PBE) results for a relaxed GeTeBr2 crystal.

The structure in CIF format:
```
data_GeTeBr2
_symmetry_space_group_name_H-M 'P 1'
_symmetry_Int_Tables_number 1
_symmetry_space_group_name_Hall 'P 1'
_cell_length_a 3.6999
_cell_length_b 3.7058
_cell_length_c 12.1243
_cell_angle_alpha 98.55
_cell_angle_beta 90.01
_cell_angle_gamma 119.95
loop_
_atom_site_label
_atom_site_fract_x
_atom_site_fract_y
_atom_site_fract_z
Te1 0.0824 0.9274 0.0529
Br1 0.8692 0.4930 0.4025
Br2 0.3004 0.3547 0.7016
Ge1 0.5846 0.9238 0.5520
```



two | DFT (PBE) results for a relaxed GeTeBr2 crystal.

The structure in CIF format:
```
data_GeTeBr2
_symmetry_space_group_name_H-M 'P 1'
_symmetry_Int_Tables_number 1
_symmetry_space_group_name_Hall 'P 1'
_cell_length_a 5.2920
_cell_length_b 5.2920
_cell_length_c 5.2920
_cell_angle_alpha 60.00
_cell_angle_beta 60.00
_cell_angle_gamma 60.00
loop_
_atom_site_label
_atom_site_fract_x
_atom_site_fract_y
_atom_site_fract_z
Br1 0.7500 0.7500 0.7500
Br2 0.2500 0.2500 0.2500
Te1 0.5000 0.5000 0.5000
Ge1 0.0000 0.0000 0.0000
```



three | DFT (PBE) results for a relaxed GeTeBr2 crystal.

The structure in CIF format:
```
data_GeTeBr2
_symmetry_space_group_name_H-M 'P 1'
_symmetry_Int_Tables_number 1
_symmetry_space_group_name_Hall 'P 1'
_cell_length_a 10.1977
_cell_length_b 10.1977
_cell_length_c 7.7289
_cell_angle_alpha 48.72
_cell_angle_beta 48.72
_cell_angle_gamma 90.00
loop_
_atom_site_label
_atom_site_fract_x
_atom_site_fract_y
_atom_site_fract_z
Ge1 0.5000 0.5000 0.0000
Te1 0.7500 0.2500 0.5000
Br1 0.3750 0.5350 0.7500
Ge2 0.2500 0.7500 0.5000
Br2 0.8750 0.7150 0.7500
Te2 0.0000 0.0000 0.0000
Br3 0.4650 0.1250 0.2500
Br4 0.2850 0.6250 0.2500
```



four | DFT (PBE) results for a relaxed GeTeBr2 crystal.

The structure in CIF format:
```
data_GeTeBr2
_symmetry_space_group_name_H-M 'P 1'
_symmetry_Int_Tables_number 1
_symmetry_space_group_name_Hall 'P 1'
_cell_length_a 6.1982
_cell_length_b 6.7058
_cell_length_c 17.5936
_cell_angle_alpha 90.13
_cell_angle_beta 90.00
_cell_angle_gamma 90.01
loop_
_atom_site_label
_atom_site_fract_x
_atom_site_fract_y
_atom_site_fract_z
Ge1 0.0000 0.2510 0.3219
Te1 0.7499 0.0024 0.2503
Br1 0.3080 0.0274 0.1006
Te2 0.7501 0.5024 0.7503
Br2 0.8081 0.4726 0.3994
Ge2 0.0000 0.7490 0.6781
Te3 0.2499 0.4976 0.2497
Br3 0.3080 0.5308 0.8996
Br4 0.6920 0.4692 0.1004
Ge3 0.5000 0.7510 0.8219
Br5 0.6920 0.9726 0.8994
Br6 0.1919 0.5274 0.6006
Br7 0.1920 0.0308 0.3996
Br8 0.8080 0.9692 0.6004
Ge4 0.5000 0.2490 0.1781
Te4 0.2501 0.9976 0.7497
```



Which structure is the least stable? The one labeled two.